A geometry-optimized KBaLa structure. Source: Alexandria via LeMat-Bulk, functional PBE-GGA.

Cell and atoms, written as extended XYZ:
```
3
Lattice="11.169 -0.008 0.006 10.202 3.856 0.013 0.967 -1.268 3.649" Properties=species:S:1:pos:R:3 pbc="T T T"
La 14.434 2.108 1.253
K 7.660 0.410 2.458
Ba 1.211 -1.207 3.606
```

Output
**Magnetization**: 0.00 μB/f.u.
**Relative energy among the computed polymorphs**: 0.33 eV/f.u.
**DFT formation energy**: 74 kJ/mol of formula units
**Calculated density**: 3.32 Mg/m³
**V**: 52.512 Å³/atom
**E_tot**: -2.395 eV per atom